VASP calculation (PBE-GGA) on crystalline Ac2AgAs4Pd3 at its relaxed geometry.

Unit cell a=4.5702 b=4.5702 c=10.2266 alpha=90.00 beta=90.00 gamma=90.00
Fractional coordinates of all 10 atoms:
Pd1 0.0000 0.5000 0.1135
As1 0.0000 0.0000 0.0000
As2 0.5000 0.0000 0.6380
Ag1 0.5000 0.5000 0.5000
Pd2 0.0000 0.0000 0.5000
Ac1 0.5000 0.0000 0.2451
As3 0.5000 0.5000 0.0000
Pd3 0.5000 0.0000 0.8865
Ac2 0.0000 0.5000 0.7549
As4 0.0000 0.5000 0.3620

The calculation puts the formation energy at -843 meV per atom.

VASP calculation (PBE-GGA) on crystalline PmGePt at its relaxed geometry.

Unit cell a=4.1380 b=4.1383 c=10.3676 alpha=101.53 beta=101.55 gamma=59.96
Last column: magnetic moment on the atom in μB.
Fractional coordinates of all 6 atoms:
Ge1 0.8537 0.3233 0.8777  0.01
Ge2 0.7691 0.2375 0.6191  0.00
Pt1 0.4850 0.9544 0.7705  0.02
Pm1 0.5857 0.0550 0.0724  0.20
Pt2 0.0844 0.5531 0.5658  0.01
Pm2 0.3601 0.8292 0.3941  0.04

The calculation puts the formation energy at -482 meV per atom. The calculation puts the relative energy among the computed polymorphs at 627 meV/atom.

VASP calculation (PBE-GGA) on crystalline CsCaYBr6 at its relaxed geometry.

Unit cell a=7.5047 b=7.5047 c=16.0347 alpha=90.00 beta=90.00 gamma=120.00
Fractional coordinates of all 18 atoms:
Br1 0.6271 0.6173 0.1473
Br2 0.9901 0.6173 0.3527
Cs1 0.0000 0.0000 0.5000
Cs2 0.0000 0.0000 0.0000
Br3 0.3729 0.3827 0.8527
Br4 0.9901 0.3729 0.1473
Br5 0.3729 0.9901 0.6473
Br6 0.3827 0.3729 0.3527
Br7 0.6271 0.0099 0.3527
Br8 0.6173 0.6271 0.6473
Br9 0.3827 0.0099 0.1473
Br10 0.6173 0.9901 0.8527
Br11 0.0099 0.3827 0.6473
Ca1 0.6667 0.3333 0.7500
Ca2 0.3333 0.6667 0.2500
Y1 0.6667 0.3333 0.2500
Br12 0.0099 0.6271 0.8527
Y2 0.3333 0.6667 0.7500

Its formation energy (no corrections) is -1955 meV per atom.

VASP calculation (PBE-GGA) on crystalline MnZnRh2 at its relaxed geometry.

Unit cell a=4.5237 b=4.5237 c=4.7712 alpha=79.37 beta=79.37 gamma=35.90
Last column: magnetic moment on the atom in μB.
Fractional coordinates of all 4 atoms:
Mn1 0.7500 0.7500 0.7500  3.46
Rh1 0.4990 0.4990 0.5001  0.21
Zn1 0.2500 0.2500 0.2500  -0.01
Rh2 0.0010 0.0010 0.9999  0.21

The calculation puts the formation energy at -184 meV per atom.